(1)
AuC (PBE, relaxed); calculated volume = 86.9 Å³/cell; E above lowest polymorph = 1.807 eV/atom; theoretical density = 8.0 g/cm3
1.0
3.008 0.000 0.000
0.000 9.613 0.000
0.000 0.000 3.007
Au C
2 2
Direct
0.000 0.000 0.000
0.500 0.500 0.000
0.000 0.500 0.500
0.500 0.000 0.500



(2)
Au2C (PBE, relaxed); calculated volume = 47.1 Å³/cell; E above lowest polymorph = 0.218 eV/atom; theoretical density = 14.3 g/cm3
1.0
3.121 0.000 0.000
0.000 3.121 0.000
0.000 0.000 4.839
Au C
2 1
Direct
0.000 0.500 0.213
0.500 0.000 0.787
0.500 0.500 0.500



(3)
Au5C3 (PBE, relaxed); calculated volume = 279.6 Å³/cell; E above lowest polymorph = 0.264 eV/atom; theoretical density = 12.1 g/cm3
1.0
6.914 0.000 0.000
0.000 13.095 0.000
0.000 0.000 3.088
Au C
10 6
Direct
0.000 0.000 0.000
0.194 0.500 0.500
0.250 0.250 0.000
0.250 0.750 0.000
0.306 0.000 0.500
0.500 0.500 0.000
0.694 0.000 0.500
0.750 0.250 0.000
0.750 0.750 0.000
0.806 0.500 0.500
0.000 0.238 0.500
0.000 0.500 0.000
0.000 0.762 0.500
0.500 0.000 0.000
0.500 0.262 0.500
0.500 0.738 0.500



(4)
Au2C (PBE, relaxed); calculated volume = 262.9 Å³/cell; E above lowest polymorph = 0.153 eV/atom; theoretical density = 10.3 g/cm3
1.0
16.181 -2.023 0.000
16.181 2.023 0.000
-0.502 0.000 4.015
Au C
8 4
Direct
0.027 0.027 0.277
0.162 0.162 0.912
0.223 0.223 0.473
0.412 0.412 0.662
0.588 0.588 0.338
0.777 0.777 0.527
0.838 0.838 0.088
0.973 0.973 0.723
0.354 0.354 0.104
0.396 0.396 0.146
0.604 0.604 0.854
0.646 0.646 0.896



(5)
Au2C (PBE, relaxed); calculated volume = 47.9 Å³/cell; E above lowest polymorph = 0.390 eV/atom; theoretical density = 14.1 g/cm3
1.0
3.160 0.000 0.000
-1.580 2.737 0.000
0.000 0.000 5.535
Au C
2 1
Direct
0.000 0.000 0.000
0.333 0.667 0.575
0.000 0.000 0.372



(6)
Au2C (PBE, relaxed); calculated volume = 106.0 Å³/cell; E above lowest polymorph = 0.252 eV/atom; theoretical density = 12.7 g/cm3
1.0
3.126 0.000 0.000
0.000 4.088 0.000
0.000 0.000 8.291
Au C
4 2
Direct
0.000 0.000 0.000
0.000 0.500 0.500
0.500 0.000 0.281
0.500 0.500 0.781
0.000 0.000 0.454
0.000 0.500 0.954



(7)
AuC3 (PBE, relaxed); calculated volume = 163.1 Å³/cell; E above lowest polymorph = 2.706 eV/atom; theoretical density = 9.5 g/cm3
1.0
5.464 0.000 0.000
0.000 5.464 0.000
0.000 0.000 5.464
Au C
4 12
Direct
0.000 0.000 0.000
0.000 0.500 0.500
0.500 0.000 0.500
0.500 0.500 0.000
0.000 0.000 0.500
0.000 0.500 0.000
0.250 0.250 0.250
0.250 0.250 0.750
0.250 0.750 0.250
0.250 0.750 0.750
0.500 0.000 0.000
0.500 0.500 0.500
0.750 0.250 0.250
0.750 0.250 0.750
0.750 0.750 0.250
0.750 0.750 0.750



(8)
AuC3 (PBE, relaxed); calculated volume = 153.0 Å³/cell; E above lowest polymorph = 1.511 eV/atom; theoretical density = 5.1 g/cm3
1.0
4.616 0.000 0.000
-2.308 3.998 0.000
0.000 0.000 8.293
Au C
2 6
Direct
0.333 0.667 0.250
0.667 0.333 0.750
0.106 0.212 0.750
0.106 0.894 0.750
0.212 0.106 0.250
0.788 0.894 0.750
0.894 0.106 0.250
0.894 0.788 0.250



(9)
Au3C4 (PBE, relaxed); calculated volume = 163.9 Å³/cell; E above lowest polymorph = 0.433 eV/atom; theoretical density = 12.9 g/cm3
1.0
2.606 0.000 0.000
0.000 2.606 0.000
0.000 0.000 24.142
Au C
6 8
Direct
0.000 0.000 0.000
0.000 0.000 0.302
0.000 0.000 0.698
0.500 0.500 0.198
0.500 0.500 0.500
0.500 0.500 0.802
0.000 0.000 0.090
0.000 0.000 0.393
0.000 0.000 0.607
0.000 0.000 0.910
0.500 0.500 0.107
0.500 0.500 0.410
0.500 0.500 0.590
0.500 0.500 0.893



(10)
Au2C (PBE, relaxed); calculated volume = 140.9 Å³/cell; E above lowest polymorph = 0.337 eV/atom; theoretical density = 14.4 g/cm3
1.0
3.136 0.000 0.000
-1.568 2.716 0.000
0.000 0.000 16.542
Au C
6 3
Direct
0.000 0.000 0.000
0.000 0.000 0.473
0.333 0.667 0.140
0.333 0.667 0.667
0.667 0.333 0.333
0.667 0.333 0.806
0.000 0.000 0.598
0.333 0.667 0.265
0.667 0.333 0.931



(11)
Au3C4 (PBE, relaxed); calculated volume = 93.6 Å³/cell; E above lowest polymorph = 1.089 eV/atom; theoretical density = 11.3 g/cm3
1.0
4.541 0.000 0.000
0.000 4.541 0.000
0.000 0.000 4.541
Au C
3 4
Direct
0.000 0.000 0.500
0.000 0.500 0.000
0.500 0.000 0.000
0.000 0.000 0.000
0.000 0.500 0.500
0.500 0.000 0.500
0.500 0.500 0.000



(12)
AuC (PBE, relaxed); calculated volume = 109.3 Å³/cell; E above lowest polymorph = 1.791 eV/atom; theoretical density = 12.7 g/cm3
1.0
3.132 0.000 0.000
0.000 11.205 0.000
0.000 0.000 3.114
Au C
4 4
Direct
0.000 0.133 0.250
0.000 0.867 0.750
0.500 0.367 0.750
0.500 0.633 0.250
0.000 0.346 0.250
0.000 0.654 0.750
0.500 0.154 0.750
0.500 0.846 0.250



(13)
Au2C (PBE, relaxed); calculated volume = 134.6 Å³/cell; E above lowest polymorph = 0.609 eV/atom; theoretical density = 15.0 g/cm3
1.0
3.188 0.000 0.000
-1.594 2.761 0.000
0.000 0.000 15.294
Au C
6 3
Direct
0.000 0.000 0.242
0.000 0.000 0.758
0.333 0.667 0.425
0.333 0.667 0.908
0.667 0.333 0.092
0.667 0.333 0.575
0.000 0.000 0.000
0.333 0.667 0.667
0.667 0.333 0.333



(14)
AuC (PBE, relaxed); calculated volume = 177.5 Å³/cell; E above lowest polymorph = 1.540 eV/atom; theoretical density = 11.7 g/cm3
1.0
3.702 0.000 0.000
0.000 10.476 0.000
0.000 0.000 4.576
Au C
6 6
Direct
0.250 0.080 0.243
0.250 0.420 0.243
0.250 0.750 0.238
0.750 0.250 0.762
0.750 0.580 0.757
0.750 0.920 0.757
0.250 0.250 0.007
0.250 0.589 0.511
0.250 0.911 0.511
0.750 0.089 0.489
0.750 0.411 0.489
0.750 0.750 0.993



(15)
AuC (PBE, relaxed); calculated volume = 83.7 Å³/cell; E above lowest polymorph = 1.802 eV/atom; theoretical density = 12.4 g/cm3
1.0
4.375 0.000 0.000
0.000 4.375 0.000
0.000 0.000 4.375
Au C
3 3
Direct
0.000 0.000 0.500
0.000 0.500 0.000
0.500 0.000 0.000
0.000 0.500 0.500
0.500 0.000 0.500
0.500 0.500 0.000



(16)
AuC (PBE, relaxed); calculated volume = 119.9 Å³/cell; E above lowest polymorph = 1.602 eV/atom; theoretical density = 11.6 g/cm3
1.0
4.930 0.000 0.000
0.000 4.930 0.000
0.000 0.000 4.930
Au C
4 4
Direct
0.000 0.000 0.000
0.000 0.500 0.500
0.500 0.000 0.500
0.500 0.500 0.000
0.250 0.250 0.750
0.250 0.750 0.250
0.750 0.250 0.250
0.750 0.750 0.750



(17)
Au2C (PBE, relaxed); calculated volume = 104.1 Å³/cell; E above lowest polymorph = 0.530 eV/atom; theoretical density = 13.0 g/cm3
1.0
3.222 0.000 0.000
0.000 10.016 0.000
0.000 0.000 3.226
Au C
4 2
Direct
0.000 0.140 0.000
0.000 0.860 0.000
0.500 0.360 0.000
0.500 0.640 0.000
0.000 0.500 0.000
0.500 0.000 0.000



(18)
Au3C5 (PBE, relaxed); calculated volume = 237.3 Å³/cell; E above lowest polymorph = 1.019 eV/atom; theoretical density = 9.1 g/cm3
1.0
8.062 0.000 0.000
-4.031 6.982 0.000
0.000 0.000 4.215
Au C
6 10
Direct
0.118 0.338 0.250
0.219 0.882 0.250
0.338 0.219 0.750
0.662 0.781 0.250
0.781 0.118 0.750
0.882 0.662 0.750
0.119 0.294 0.750
0.175 0.881 0.750
0.294 0.175 0.250
0.333 0.667 0.096
0.333 0.667 0.404
0.667 0.333 0.596
0.667 0.333 0.904
0.706 0.825 0.750
0.825 0.119 0.250
0.881 0.706 0.250



(19)
Au2C (PBE, relaxed); calculated volume = 189.1 Å³/cell; E above lowest polymorph = 0.000 eV/atom; theoretical density = 14.3 g/cm3
1.0
3.255 0.000 0.000
0.000 10.140 0.000
0.000 0.000 5.729
Au C
8 4
Direct
0.000 0.142 0.248
0.000 0.142 0.752
0.000 0.858 0.248
0.000 0.858 0.752
0.500 0.358 0.248
0.500 0.358 0.752
0.500 0.642 0.248
0.500 0.642 0.752
0.000 0.500 0.380
0.000 0.500 0.620
0.500 0.000 0.380
0.500 0.000 0.620



(20)
AuC3 (PBE, relaxed); calculated volume = 76.3 Å³/cell; E above lowest polymorph = 1.995 eV/atom; theoretical density = 10.1 g/cm3
1.0
4.242 0.000 0.000
0.000 4.242 0.000
0.000 0.000 4.242
Au C
2 6
Direct
0.000 0.000 0.000
0.500 0.500 0.500
0.000 0.000 0.500
0.000 0.500 0.000
0.000 0.500 0.500
0.500 0.000 0.000
0.500 0.000 0.500
0.500 0.500 0.000



(21)
AuC (PBE, relaxed); calculated volume = 122.9 Å³/cell; E above lowest polymorph = 0.947 eV/atom; theoretical density = 11.3 g/cm3
1.0
5.154 0.000 0.000
-2.577 4.464 0.000
0.000 0.000 5.341
Au C
4 4
Direct
0.000 0.000 0.250
0.000 0.000 0.750
0.333 0.667 0.250
0.667 0.333 0.750
0.333 0.667 0.631
0.333 0.667 0.869
0.667 0.333 0.131
0.667 0.333 0.369



(22)
AuC4 (PBE, relaxed); calculated volume = 68.8 Å³/cell; E above lowest polymorph = 2.779 eV/atom; theoretical density = 5.9 g/cm3
1.0
4.097 0.000 0.000
0.000 4.097 0.000
0.000 0.000 4.097
Au C
1 4
Direct
0.000 0.000 0.000
0.000 0.000 0.500
0.000 0.500 0.000
0.500 0.000 0.000
0.500 0.500 0.500



(23)
AuC (PBE, relaxed); calculated volume = 158.4 Å³/cell; E above lowest polymorph = 0.479 eV/atom; theoretical density = 8.8 g/cm3
1.0
2.604 0.000 0.000
0.000 5.393 0.000
0.000 0.000 11.275
Au C
4 4
Direct
0.000 0.250 0.120
0.000 0.750 0.880
0.500 0.250 0.880
0.500 0.750 0.120
0.000 0.250 0.500
0.000 0.750 0.500
0.500 0.250 0.500
0.500 0.750 0.500



(24)
AuC4 (PBE, relaxed); calculated volume = 145.3 Å³/cell; E above lowest polymorph = 0.089 eV/atom; theoretical density = 5.6 g/cm3
1.0
5.285 0.000 0.000
0.000 5.285 0.000
0.000 0.000 5.201
Au C
2 8
Direct
0.000 0.000 0.000
0.500 0.500 0.500
0.000 0.381 0.000
0.000 0.619 0.000
0.119 0.500 0.500
0.381 0.000 0.000
0.500 0.119 0.500
0.500 0.881 0.500
0.619 0.000 0.000
0.881 0.500 0.500



(25)
AuC (PBE, relaxed); calculated volume = 102.2 Å³/cell; E above lowest polymorph = 1.814 eV/atom; theoretical density = 13.6 g/cm3
1.0
4.676 0.000 0.000
0.000 4.676 0.000
0.000 0.000 4.676
Au C
4 4
Direct
0.000 0.000 0.000
0.000 0.500 0.500
0.500 0.000 0.500
0.500 0.500 0.000
0.000 0.000 0.500
0.000 0.500 0.000
0.500 0.000 0.000
0.500 0.500 0.500



(26)
Au2C (PBE, relaxed); calculated volume = 167.4 Å³/cell; E above lowest polymorph = 0.615 eV/atom; theoretical density = 12.1 g/cm3
1.0
5.558 0.000 0.000
-2.779 4.813 0.000
0.000 0.000 6.259
Au C
6 3
Direct
0.000 0.282 0.000
0.000 0.638 0.500
0.282 0.000 0.000
0.362 0.362 0.500
0.638 0.000 0.500
0.718 0.718 0.000
0.000 0.000 0.500
0.333 0.667 0.000
0.667 0.333 0.000



(27)
Au3C5 (PBE, relaxed); calculated volume = 106.3 Å³/cell; E above lowest polymorph = 0.247 eV/atom; theoretical density = 10.2 g/cm3
1.0
3.262 0.000 0.000
0.000 3.262 0.000
0.000 0.000 9.992
Au C
3 5
Direct
0.000 0.000 0.000
0.500 0.500 0.295
0.500 0.500 0.705
0.000 0.000 0.368
0.000 0.000 0.500
0.000 0.000 0.632
0.500 0.500 0.066
0.500 0.500 0.934



Number 1: ΔH_f (0 K) 2.090 eV per atom. Number 2: ΔH_f (0 K) 1.068 eV per atom. Number 3: ΔH_f (0 K) 1.778 eV per atom. Number 4: ΔH_f (0 K) 1.004 eV per atom. Number 5: ΔH_f (0 K) 1.241 eV per atom. Number 6: ΔH_f (0 K) 1.102 eV per atom. Number 7: ΔH_f (0 K) 3.566 eV per atom. Number 8: ΔH_f (0 K) 2.372 eV per atom. Number 9: ΔH_f (0 K) 1.911 eV per atom. Number 10: ΔH_f (0 K) 1.188 eV per atom. Number 11: ΔH_f (0 K) 2.567 eV per atom. Number 12: ΔH_f (0 K) 2.074 eV per atom. Number 13: ΔH_f (0 K) 1.459 eV per atom. Number 14: ΔH_f (0 K) 1.823 eV per atom. Number 15: ΔH_f (0 K) 2.085 eV per atom. Number 16: ΔH_f (0 K) 1.885 eV per atom. Number 17: ΔH_f (0 K) 1.380 eV per atom. Number 18: ΔH_f (0 K) 2.255 eV per atom. Number 19: ΔH_f (0 K) 0.851 eV per atom. Number 20: ΔH_f (0 K) 2.855 eV per atom. Number 21: ΔH_f (0 K) 1.230 eV per atom. Number 22: ΔH_f (0 K) 4.362 eV per atom. Number 23: ΔH_f (0 K) 0.762 eV per atom. Number 24: ΔH_f (0 K) 1.672 eV per atom. Number 25: ΔH_f (0 K) 2.097 eV per atom. Number 26: ΔH_f (0 K) 1.465 eV per atom. Number 27: ΔH_f (0 K) 1.483 eV per atom.